SiBiRh2: optimized geometry, GGA-PBE.

abc: 5.4802 5.4802 7.1782
angles: 67.56 67.56 90.00
Last column: nearest neighbours and their distance in Å.
Fractional coordinates of all 8 atoms:
Si (0.5000, 0.5000, 0.0000)  4 Rh 2.28
Si (0.2500, 0.7500, 0.5000)  4 Rh 2.28
Rh (0.5591, 0.1250, 0.2500)  2 Si 2.28
Rh (0.1909, 0.6250, 0.2500)  2 Si 2.28
Rh (0.3750, 0.4409, 0.7500)  2 Si 2.28
Rh (0.8750, 0.8091, 0.7500)  2 Si 2.28
Bi (0.0000, 0.0000, 0.0000)  4 Rh 2.68
Bi (0.7500, 0.2500, 0.5000)  4 Rh 2.68

Properties
Final energy (eV per atom): -6.0212
Formation energy without anion corrections (eV per atom): -0.019
Space-group type: I-42d (122)